Below is a relaxed V2CdGaO crystal, with properties calculated at the GGA+U level.

## Properties
Space group ... P4/mmm (123)
Total magnetization ... 5.5 μB/f.u.
Total energy ... -4.87 eV/atom
Distance to the lowest polymorph of the same formula ... 0.000 eV per atom
DOS at the Fermi energy ... 1.91 states/eV per cell

```
V2CdGaO
1.0
-1.542 -1.102 3.725
2.816 -3.864 0.022
3.005 2.201 1.896
Ga Cd O V
1 1 1 2
Direct
0.000 0.500 0.000
0.500 0.500 0.500
0.000 0.000 0.000
0.000 0.000 0.500
0.500 0.000 0.000
```